Compound: Nb2MoPdN
Source: the Alexandria database
Functional: PBE-GGA
Structure: optimized geometry

Summary:
- formation energy from raw total energies (eV per atom) = -0.43

Lattice parameters (Å, degrees): 4.2607 4.2607 4.0977 90.00 90.00 90.00
Last column: nearest neighbours and their distance in Å.
Space group P4/mmm (No. 123)
Symmetry-distinct sites (fractional):
Nb 0.0000 0.5000 0.0000 x2  2 N 2.13
Mo 0.0000 0.0000 0.5000 x1  2 N 2.05
Pd 0.5000 0.5000 0.5000 x1  8 Nb 2.96, 4 Mo 3.01
N 0.0000 0.0000 0.0000 x1  2 Mo 2.05, 4 Nb 2.13

---

Compound: NbMo2PdN
Source: the Alexandria database
Functional: PBE-GGA
Structure: optimized geometry

Summary:
- formation energy from raw total energies (eV per atom) = -0.29

Lattice parameters (Å, degrees): 4.1095 4.1095 4.2593 90.00 90.00 90.00
Last column: nearest neighbours and their distance in Å.
Space group P4/mmm (No. 123)
Symmetry-distinct sites (fractional):
Nb 0.0000 0.0000 0.0000 x1  2 N 2.13
Mo 0.0000 0.5000 0.5000 x2  2 N 2.05
Pd 0.5000 0.5000 0.0000 x1  4 Nb 2.91, 8 Mo 2.96
N 0.0000 0.0000 0.5000 x1  4 Mo 2.05, 2 Nb 2.13

---

Compound: Pr2NbMoN5
Source: the Alexandria database
Functional: PBE-GGA
Structure: optimized geometry

Summary:
- formation energy from raw total energies (eV per atom) = -0.99

Lattice parameters (Å, degrees): 3.3890 13.5737 10.6256 90.00 90.00 90.00
Last column: nearest neighbours and their distance in Å.
Space group Cmc2_1 (No. 36)
Symmetry-distinct sites (fractional):
Pr 0.0000 0.1097 0.0000 x4  6 N 2.40-2.67
Pr 0.0000 0.1459 0.6037 x4  7 N 2.51-2.77
Nb 0.0000 0.2206 0.3204 x4  3 N 1.98-2.20
Mo 0.0000 0.4716 0.7692 x4  3 N 1.89-1.94
N 0.0000 0.0471 0.3556 x4  2 Mo 1.94
N 0.0000 0.2828 0.9523 x4  2 Nb 2.20, 1 Pr 2.40
N 0.0000 0.3193 0.6911 x4  1 Mo 2.23, 2 Nb 2.25
N 0.0000 0.3663 0.3088 x4  1 Nb 1.98
N 0.0000 0.4907 0.0977 x4  1 Mo 1.89

---

Compound: NbMo2PtN
Source: the Alexandria database
Functional: PBE-GGA
Structure: optimized geometry

Summary:
- formation energy from raw total energies (eV per atom) = -0.44

Lattice parameters (Å, degrees): 4.1070 4.1070 4.2476 90.00 90.00 90.00
Last column: nearest neighbours and their distance in Å.
Space group P4/mmm (No. 123)
Symmetry-distinct sites (fractional):
Nb 0.0000 0.0000 0.0000 x1  2 N 2.12
Mo 0.0000 0.5000 0.5000 x2  2 N 2.05
Pt 0.5000 0.5000 0.0000 x1  4 Nb 2.90, 8 Mo 2.95
N 0.0000 0.0000 0.5000 x1  4 Mo 2.05, 2 Nb 2.12

---

Compound: Nb2MoPtN
Source: the Alexandria database
Functional: PBE-GGA
Structure: optimized geometry

Summary:
- formation energy from raw total energies (eV per atom) = -0.58

Lattice parameters (Å, degrees): 4.2554 4.2554 4.0895 90.00 90.00 90.00
Last column: nearest neighbours and their distance in Å.
Space group P4/mmm (No. 123)
Symmetry-distinct sites (fractional):
Nb 0.0000 0.5000 0.0000 x2  2 N 2.13
Mo 0.0000 0.0000 0.5000 x1  2 N 2.04
Pt 0.5000 0.5000 0.5000 x1  8 Nb 2.95, 4 Mo 3.01
N 0.0000 0.0000 0.0000 x1  2 Mo 2.04, 4 Nb 2.13

---

Compound: NbMo2RhN
Source: the Alexandria database
Functional: PBE-GGA
Structure: optimized geometry

Summary:
- formation energy from raw total energies (eV per atom) = -0.31

Lattice parameters (Å, degrees): 4.0791 4.0791 4.2574 90.00 90.00 90.00
Last column: nearest neighbours and their distance in Å.
Space group P4/mmm (No. 123)
Symmetry-distinct sites (fractional):
Nb 0.0000 0.0000 0.0000 x1  2 N 2.13
Mo 0.0000 0.5000 0.5000 x2  2 N 2.04
Rh 0.5000 0.5000 0.0000 x1  4 Nb 2.88, 8 Mo 2.95
N 0.0000 0.0000 0.5000 x1  4 Mo 2.04, 2 Nb 2.13

---

no.,VASP energy (eV/cell),density (g/cm³)
1,-46.643,8.98
2,-46.723,9.35
3,-323.974,7.35
4,-48.302,11.45
5,-48.232,11.01
6,-48.979,9.42